U4FeTc3 | GGA-PBE | relaxed

Cell and atoms, written as extended XYZ:
```
8
Lattice="-1.603 -3.021 -0.557 2.749 -0.776 -1.838 5.312 -6.350 9.482" Properties=species:S:1:pos:R:3 pbc="T T T"
U 0.400 -4.054 0.574
Tc 3.284 -3.567 1.248
U 1.876 -5.367 3.318
U 4.582 -4.779 3.769
Fe 0.000 0.000 0.000
Tc 3.174 -6.579 5.839
Tc 0.573 -1.898 -1.197
U 6.058 -6.092 6.513
```

## Properties
E_form = 171.8 meV/atom
Total magnetic moment = 0.00 μB per formula unit
V = 18.27 Å³ per atom

***

UFeTc | GGA-PBE | relaxed

Cell and atoms, written as extended XYZ:
```
3
Lattice="-1.589 -2.259 -1.793 1.234 -0.805 2.945 -4.452 1.357 2.236" Properties=species:S:1:pos:R:3 pbc="T T T"
U -2.245 -1.288 0.588
Tc -0.001 0.000 0.000
Fe -2.561 -0.420 2.800
```

## Properties
E_form = 228.6 meV/atom
Total magnetic moment = 0.00 μB per formula unit
ΔE to the lowest computed polymorph = 302 meV per atom
V = 16.17 Å³ per atom

***

UFeTc | GGA-PBE | relaxed

Cell and atoms, written as extended XYZ:
```
6
Lattice="-0.147 0.828 -3.736 -3.367 -1.894 -0.288 -3.107 5.041 3.198" Properties=species:S:1:pos:R:3 pbc="T T T"
Fe -1.684 -0.947 -0.144
Fe -0.073 0.414 -1.868
Tc -2.758 1.183 -1.592
Tc -3.864 2.792 0.767
U -0.905 1.552 0.379
U -5.716 2.424 -1.204
```

## Properties
E_form = -40.1 meV/atom
Total magnetic moment = 0.74 μB per formula unit
ΔE to the lowest computed polymorph = 33 meV per atom
V = 15.95 Å³ per atom

***

UFeTc | GGA-PBE | relaxed

Cell and atoms, written as extended XYZ:
```
6
Lattice="-4.591 -0.964 -5.862 -3.204 -1.705 2.789 -4.933 1.244 -1.149" Properties=species:S:1:pos:R:3 pbc="T T T"
Fe -7.253 -0.456 -0.557
Tc -7.082 -1.560 -2.913
U -9.267 -0.621 -4.848
Fe -5.652 0.396 -1.952
Tc -3.185 -0.226 -1.377
U -9.830 -1.256 -2.128
```

## Properties
E_form = -73.0 meV/atom
Total magnetic moment = 1.22 μB per formula unit
ΔE to the lowest computed polymorph = 0 meV per atom
V = 16.07 Å³ per atom

***

UVFeTc | GGA-PBE | relaxed

Cell and atoms, written as extended XYZ:
```
4
Lattice="4.437 0.000 0.000 2.218 3.842 0.000 2.218 1.281 3.622" Properties=species:S:1:pos:R:3 pbc="T T T"
U 4.437 2.561 1.811
Fe 6.655 3.842 2.717
Tc 2.218 1.281 0.906
V 0.000 0.000 0.000
```

## Properties
E_form = 90.3 meV/atom
Total magnetic moment = 2.13 μB per formula unit
V = 15.44 Å³ per atom

***

ZrUFeTc | GGA-PBE | relaxed

Cell and atoms, written as extended XYZ:
```
4
Lattice="4.660 0.000 0.000 2.330 4.035 0.000 2.330 1.345 3.805" Properties=species:S:1:pos:R:3 pbc="T T T"
Tc 2.330 1.345 0.951
Zr 4.660 2.690 1.902
U 0.000 0.000 0.000
Fe 6.990 4.035 2.854
```

## Properties
E_form = -19.5 meV/atom
Total magnetic moment = 0.79 μB per formula unit
V = 17.89 Å³ per atom

***

V4Fe2Tc | GGA-PBE | relaxed

Cell and atoms, written as extended XYZ:
```
7
Lattice="-2.416 3.690 0.754 -3.718 -2.480 0.227 -2.267 -0.061 6.315" Properties=species:S:1:pos:R:3 pbc="T T T"
V -5.803 0.935 3.385
V -1.859 -1.240 0.113
V -1.208 1.845 0.377
V -2.597 0.214 3.911
Tc 0.000 0.000 0.000
Fe -5.505 0.686 5.560
Fe -2.896 0.463 1.737
```

## Properties
E_form = 1023.4 meV/atom
Total magnetic moment = 1.90 μB per formula unit
V = 16.93 Å³ per atom

***

VFeTc2 | GGA-PBE | relaxed

Cell and atoms, written as extended XYZ:
```
4
Lattice="-1.060 2.018 1.992 1.836 -1.133 2.124 4.228 3.818 -1.618" Properties=species:S:1:pos:R:3 pbc="T T T"
Tc 3.164 2.857 -1.211
Fe 0.388 0.443 2.058
V 2.502 2.351 1.249
Tc 1.064 0.961 -0.407
```

## Properties
E_form = -77.4 meV/atom
Total magnetic moment = 2.83 μB per formula unit
V = 13.57 Å³ per atom

***

VFeTc | GGA-PBE | relaxed

Cell and atoms, written as extended XYZ:
```
6
Lattice="2.588 0.000 0.000 0.000 6.443 0.000 0.000 0.000 4.627" Properties=species:S:1:pos:R:3 pbc="T T T"
V 0.000 3.222 0.000
Tc 0.000 0.819 3.470
Fe 1.294 5.059 3.470
Tc 0.000 5.625 1.157
V 0.000 3.222 2.313
Fe 1.294 1.384 1.157
```

## Properties
E_form = 132.1 meV/atom
Total magnetic moment = 0.00 μB per formula unit
ΔE to the lowest computed polymorph = 255 meV per atom
V = 12.86 Å³ per atom

***

VFe3Tc | GGA-PBE | relaxed

Cell and atoms, written as extended XYZ:
```
5
Lattice="-4.027 0.506 1.627 -0.013 -4.184 1.268 1.703 1.163 3.855" Properties=species:S:1:pos:R:3 pbc="T T T"
Fe 0.852 0.581 1.928
Tc 0.000 0.000 0.000
Fe -2.013 0.253 0.813
Fe -0.007 -2.092 0.634
V -1.168 -1.258 3.375
```

## Properties
E_form = 1546.2 meV/atom
Total magnetic moment = 6.39 μB per formula unit
ΔE to the lowest computed polymorph = 324 meV per atom
V = 16.71 Å³ per atom

***

V2Fe2Tc | GGA-PBE | relaxed

Cell and atoms, written as extended XYZ:
```
10
Lattice="-0.322 -6.527 1.890 -1.068 -1.821 -6.468 2.657 -0.238 -0.372" Properties=species:S:1:pos:R:3 pbc="T T T"
V -0.419 -1.634 -1.949
Tc -0.695 -4.174 -2.289
Fe 0.591 -2.251 -4.089
V -1.015 -3.801 -4.819
V -0.374 -4.547 0.242
Fe 1.059 -2.694 -0.464
Tc 0.000 0.000 0.000
Fe 0.209 -5.892 -4.485
Fe 0.676 -6.335 -0.859
V -0.970 -6.714 -2.628
```

## Properties
E_form = 40.2 meV/atom
Total magnetic moment = 0.00 μB per formula unit
ΔE to the lowest computed polymorph = 94 meV per atom
V = 12.47 Å³ per atom

***

VFe3Tc | GGA-PBE | relaxed

Cell and atoms, written as extended XYZ:
```
5
Lattice="4.158 0.000 0.000 0.000 4.158 0.000 0.000 0.000 4.158" Properties=species:S:1:pos:R:3 pbc="T T T"
Fe 2.079 0.000 0.000
Fe 0.000 2.079 0.000
Fe 0.000 0.000 2.079
V 0.000 0.000 0.000
Tc 2.079 2.079 2.079
```

## Properties
E_form = 1221.8 meV/atom
Total magnetic moment = 5.74 μB per formula unit
ΔE to the lowest computed polymorph = 0 meV per atom
V = 14.38 Å³ per atom

***

VFe2Tc2 | GGA-PBE | relaxed

Cell and atoms, written as extended XYZ:
```
10
Lattice="-1.833 -6.725 0.913 0.040 -0.957 -6.964 2.552 -0.681 0.108" Properties=species:S:1:pos:R:3 pbc="T T T"
V 0.000 0.000 0.000
Fe -1.135 -4.300 -0.282
Tc 0.074 -5.661 -5.085
Fe -0.209 -1.182 -2.520
V -0.896 -3.841 -3.025
Fe -1.584 -6.499 -3.530
Fe -0.658 -3.381 -5.769
Tc -0.225 -6.209 -1.464
Tc 0.685 -2.701 -0.858
Tc 0.985 -2.153 -4.479
```

## Properties
E_form = 123.9 meV/atom
Total magnetic moment = 0.00 μB per formula unit
V = 13.06 Å³ per atom

***

V6FeTc | GGA-PBE | relaxed

Cell and atoms, written as extended XYZ:
```
8
Lattice="-6.370 1.679 -1.137 -4.928 -3.296 3.088 -3.662 1.244 2.712" Properties=species:S:1:pos:R:3 pbc="T T T"
Tc -7.480 -0.187 2.331
V -5.326 0.347 0.879
V -2.497 0.729 0.413
V -3.396 -1.331 2.233
V -12.463 -1.102 4.248
V -11.564 0.958 2.428
V -9.634 -0.720 3.783
Fe 0.000 0.000 0.000
```

## Properties
E_form = -151.2 meV/atom
Total magnetic moment = 0.00 μB per formula unit
ΔE to the lowest computed polymorph = 47 meV per atom
V = 13.20 Å³ per atom

***

V2Fe2Tc | GGA-PBE | relaxed

Cell and atoms, written as extended XYZ:
```
5
Lattice="3.740 0.008 1.951 1.346 3.489 1.951 -0.129 -0.089 4.790" Properties=species:S:1:pos:R:3 pbc="T T T"
V 2.842 0.672 3.660
Fe 1.148 2.071 2.336
V 2.115 2.736 5.031
Tc 1.870 0.004 0.975
Fe 3.809 1.337 6.355
```

## Properties
E_form = -53.4 meV/atom
Total magnetic moment = 3.40 μB per formula unit
ΔE to the lowest computed polymorph = 0 meV per atom
V = 12.75 Å³ per atom

***

V2Fe2Tc | GGA-PBE | relaxed

Cell and atoms, written as extended XYZ:
```
10
Lattice="6.771 0.000 0.000 0.000 6.771 0.000 0.000 0.000 2.715" Properties=species:S:1:pos:R:3 pbc="T T T"
Tc 3.386 3.386 0.000
Fe 5.862 4.294 0.000
Fe 4.294 0.909 0.000
V 4.492 5.664 1.358
Tc 0.000 0.000 0.000
V 1.107 4.492 1.358
V 2.279 1.107 1.358
V 5.664 2.279 1.358
Fe 0.909 2.477 0.000
Fe 2.477 5.862 0.000
```

## Properties
E_form = 22.8 meV/atom
Total magnetic moment = 0.00 μB per formula unit
ΔE to the lowest computed polymorph = 76 meV per atom
V = 12.45 Å³ per atom

***

VFeTc | GGA-PBE | relaxed

Cell and atoms, written as extended XYZ:
```
6
Lattice="2.979 0.000 0.002 0.000 2.979 -0.002 -0.005 0.005 8.816" Properties=species:S:1:pos:R:3 pbc="T T T"
Fe 0.740 2.239 8.111
V 0.744 2.235 2.025
Fe 2.234 0.745 0.706
Tc 2.232 0.747 3.573
Tc 0.742 2.237 5.243
V 2.230 0.749 6.791
```

## Properties
E_form = -122.6 meV/atom
Total magnetic moment = 1.38 μB per formula unit
ΔE to the lowest computed polymorph = 0 meV per atom
V = 13.04 Å³ per atom

***

V4FeTc3 | GGA-PBE | relaxed

Cell and atoms, written as extended XYZ:
```
8
Lattice="3.004 0.000 0.000 0.000 3.004 0.000 0.000 0.000 11.886" Properties=species:S:1:pos:R:3 pbc="T T T"
V 0.000 0.000 4.426
V 0.000 0.000 7.460
Tc 1.502 1.502 8.985
Fe 1.502 1.502 0.000
Tc 1.502 1.502 5.943
V 0.000 0.000 10.470
Tc 1.502 1.502 2.901
V 0.000 0.000 1.416
```

## Properties
E_form = -296.7 meV/atom
Total magnetic moment = 0.73 μB per formula unit
V = 13.41 Å³ per atom

***

VFeTc2 | GGA-PBE | relaxed

Cell and atoms, written as extended XYZ:
```
4
Lattice="3.775 0.000 0.000 0.000 3.780 0.000 0.000 0.000 3.780" Properties=species:S:1:pos:R:3 pbc="T T T"
V 1.887 1.890 1.890
Tc 0.000 1.890 0.000
Fe 1.887 0.000 0.000
Tc 0.000 0.000 1.890
```

## Properties
E_form = 16.7 meV/atom
Total magnetic moment = 1.63 μB per formula unit
V = 13.49 Å³ per atom

***

V5FeTc6 | GGA-PBE | relaxed

Cell and atoms, written as extended XYZ:
```
12
Lattice="-0.005 2.034 -3.752 4.717 -3.319 -1.805 -3.998 -5.410 -0.501" Properties=species:S:1:pos:R:3 pbc="T T T"
Fe 0.000 0.000 0.000
Tc 2.195 -3.955 -2.147
V 2.033 -6.267 -3.400
Tc -1.480 -2.740 -3.911
Tc 3.521 -1.462 -3.224
Tc -2.807 -5.233 -2.833
V -0.315 -4.595 -2.491
V 1.029 -2.100 -3.567
V -1.318 -0.428 -2.657
Tc 0.868 -4.392 -4.809
V 2.359 -1.659 -0.903
Tc -0.153 -2.303 -1.248
```

## Properties
E_form = -265.7 meV/atom
Total magnetic moment = 3.00 μB per formula unit
V = 13.76 Å³ per atom